Record 1
# SiSbOs2 (PBE, optimized geometry)
data_SiSbOs2
_cell_length_a 2.942
_cell_length_b 2.942
_cell_length_c 7.800
_cell_angle_alpha 90.00
_cell_angle_beta 90.00
_cell_angle_gamma 90.00
_symmetry_space_group_name_H-M 'P 4 m m'
_symmetry_Int_Tables_number 99
loop_
_symmetry_equiv_pos_as_xyz
'x,y,z'
'-y,x,z'
'-x,-y,z'
'y,-x,z'
'-x,y,z'
'y,x,z'
'x,-y,z'
'-y,-x,z'
loop_
_atom_site_label
_atom_site_type_symbol
_atom_site_fract_x
_atom_site_fract_y
_atom_site_fract_z
Si1 Si 0.000 0.000 0.000
Sb1 Sb 0.500 0.500 0.663
Os1 Os 0.000 0.000 0.417
Os2 Os 0.500 0.500 0.186
# **Total energy**: -7.67 eV/atom
# **Energy above the lowest structure with this stoichiometry**: 168 meV per atom
# **Fermi-level density of states**: 2.048 states/eV per cell
# **Formation energy (no corrections)**: 0.336 eV/atom
# **Volume**: 16.9 Å³ per atom

Record 2
# BaSrTl2Ni (PBE, optimized geometry)
data_BaSrTl2Ni
_cell_length_a 5.330
_cell_length_b 5.330
_cell_length_c 5.493
_cell_angle_alpha 90.00
_cell_angle_beta 90.00
_cell_angle_gamma 90.00
_symmetry_space_group_name_H-M 'P 4/m m m'
_symmetry_Int_Tables_number 123
_symmetry_space_group_name_Hall '-P 4 2'
loop_
_atom_site_label
_atom_site_type_symbol
_atom_site_fract_x
_atom_site_fract_y
_atom_site_fract_z
Ba1 Ba 0.000 0.000 0.000
Sr1 Sr 0.500 0.500 0.000
Tl1 Tl 0.000 0.500 0.500
Ni1 Ni 0.500 0.500 0.500
# **Total energy**: -2.94 eV/atom
# **Fermi-level density of states**: 4.298 states/eV per cell
# **Volume**: 31.2 Å³ per atom

Record 3
# CaSmNi (PBE, optimized geometry)
data_CaSmNi
_cell_length_a 3.8069
_cell_length_b 3.8069
_cell_length_c 13.8509
_cell_angle_alpha 90.00
_cell_angle_beta 90.00
_cell_angle_gamma 120.00
_symmetry_space_group_name_H-M 'P 63 m c'
_symmetry_Int_Tables_number 186
_symmetry_space_group_name_Hall 'P 6c -2c'
loop_
_atom_site_label
_atom_site_type_symbol
_atom_site_fract_x
_atom_site_fract_y
_atom_site_fract_z
Ca1 Ca 0.3333 0.6667 0.0000
Sm1 Sm 0.3333 0.6667 0.2571
Ni1 Ni 0.0000 0.0000 0.1411
# **Total energy**: -4.17 eV/atom
# **Energy above the lowest structure with this stoichiometry**: 234 meV per atom
# **Fermi-level density of states**: 7.578 states/eV per cell
# **Volume**: 29.0 Å³ per atom

Record 4
# TbPr8Nd6 (PBE, optimized geometry)
data_TbPr8Nd6
_cell_length_a 9.6228
_cell_length_b 9.6228
_cell_length_c 6.7704
_cell_angle_alpha 90.00
_cell_angle_beta 90.00
_cell_angle_gamma 120.00
_symmetry_space_group_name_H-M 'P -3'
_symmetry_Int_Tables_number 147
loop_
_symmetry_equiv_pos_as_xyz
'x,y,z'
'-x,-y,-z'
'-y,x-y,z'
'y,-x+y,-z'
'-x+y,-x,z'
'x-y,x,-z'
loop_
_atom_site_label
_atom_site_type_symbol
_atom_site_fract_x
_atom_site_fract_y
_atom_site_fract_z
Tb1 Tb 0.0000 0.0000 0.0000
Pr1 Pr 0.0297 0.7468 0.6640
Pr2 Pr 0.3333 0.6667 0.6117
Nd1 Nd 0.0856 0.6545 0.1571
# **Total energy**: -4.61 eV/atom
# **Energy above the lowest structure with this stoichiometry**: 49 meV per atom
# **Fermi-level density of states**: 22.474 states/eV per cell
# **Volume**: 36.2 Å³ per atom

Record 5
# YErPd (PBE, optimized geometry)
data_YErPd
_cell_length_a 3.625
_cell_length_b 15.804
_cell_length_c 5.169
_cell_angle_alpha 90.00
_cell_angle_beta 90.00
_cell_angle_gamma 90.00
_symmetry_space_group_name_H-M 'C m c m'
_symmetry_Int_Tables_number 63
_symmetry_space_group_name_Hall '-C 2c 2'
loop_
_atom_site_label
_atom_site_type_symbol
_atom_site_fract_x
_atom_site_fract_y
_atom_site_fract_z
Y1 Y 0.000 0.220 0.250
Er1 Er 0.000 0.073 0.750
Pd1 Pd 0.000 0.428 0.750
# **Total energy**: -5.97 eV/atom
# **Energy above the lowest structure with this stoichiometry**: 3 meV per atom
# **Fermi-level density of states**: 10.563 states/eV per cell
# **Volume**: 24.7 Å³ per atom

Record 6
# Pu2Ru2Rh (PBE, optimized geometry)
data_Pu2Ru2Rh
_cell_length_a 7.076
_cell_length_b 7.076
_cell_length_c 3.769
_cell_angle_alpha 90.00
_cell_angle_beta 90.00
_cell_angle_gamma 90.00
_symmetry_space_group_name_H-M 'P 4/m b m'
_symmetry_Int_Tables_number 127
_symmetry_space_group_name_Hall '-P 4 2ab'
loop_
_atom_site_label
_atom_site_type_symbol
_atom_site_fract_x
_atom_site_fract_y
_atom_site_fract_z
Pu1 Pu 0.181 0.319 0.000
Ru1 Ru 0.135 0.635 0.500
Rh1 Rh 0.000 0.000 0.500
# **Total energy**: -11.06 eV/atom
# **Fermi-level density of states**: 26.471 states/eV per cell
# **Volume**: 18.9 Å³ per atom

Record 7
# TbPrY2N4 (PBE, optimized geometry)
data_TbPrY2N4
_cell_length_a 6.130
_cell_length_b 3.539
_cell_length_c 6.130
_cell_angle_alpha 90.00
_cell_angle_beta 109.42
_cell_angle_gamma 90.00
_symmetry_space_group_name_H-M 'P 1 2/m 1'
_symmetry_Int_Tables_number 10
loop_
_symmetry_equiv_pos_as_xyz
'x,y,z'
'-x,-y,-z'
'-x,y,-z'
'x,-y,z'
loop_
_atom_site_label
_atom_site_type_symbol
_atom_site_fract_x
_atom_site_fract_y
_atom_site_fract_z
Tb1 Tb 0.000 0.000 0.000
Pr1 Pr 0.500 0.500 0.000
Y1 Y 0.000 0.500 0.500
Y2 Y 0.500 0.000 0.500
N1 N 0.242 0.000 0.741
N2 N 0.246 0.500 0.254
# **Total energy**: -8.51 eV/atom
# **Fermi-level density of states**: 0.257 states/eV per cell
# **Formation energy (no corrections)**: -1.559 eV/atom
# **Volume**: 15.7 Å³ per atom

Record 8
# LiDyEr2 (PBE, optimized geometry)
data_LiDyEr2
_cell_length_a 3.573
_cell_length_b 3.573
_cell_length_c 8.757
_cell_angle_alpha 90.00
_cell_angle_beta 90.00
_cell_angle_gamma 90.00
_symmetry_space_group_name_H-M 'P 4/m m m'
_symmetry_Int_Tables_number 123
_symmetry_space_group_name_Hall '-P 4 2'
loop_
_atom_site_label
_atom_site_type_symbol
_atom_site_fract_x
_atom_site_fract_y
_atom_site_fract_z
Li1 Li 0.000 0.000 0.000
Dy1 Dy 0.000 0.000 0.500
Er1 Er 0.500 0.500 0.222
# **Total energy**: -3.84 eV/atom
# **Energy above the lowest structure with this stoichiometry**: 0 meV per atom
# **Fermi-level density of states**: 4.535 states/eV per cell
# **Volume**: 27.9 Å³ per atom

Record 9
# NiGe2Au (PBE, optimized geometry)
data_NiGe2Au
_cell_length_a 3.9926
_cell_length_b 3.9926
_cell_length_c 14.8009
_cell_angle_alpha 90.00
_cell_angle_beta 90.00
_cell_angle_gamma 120.00
_symmetry_space_group_name_H-M 'R 3 m'
_symmetry_Int_Tables_number 160
_symmetry_space_group_name_Hall 'R 3 -2"'
loop_
_atom_site_label
_atom_site_type_symbol
_atom_site_fract_x
_atom_site_fract_y
_atom_site_fract_z
Ni1 Ni 0.0000 0.0000 0.0000
Ge1 Ge 0.0000 0.0000 0.4056
Ge2 Ge 0.0000 0.0000 0.6149
Au1 Au 0.0000 0.0000 0.1818
# **Total energy**: -4.57 eV/atom
# **Energy above the lowest structure with this stoichiometry**: 0 meV per atom
# **Fermi-level density of states**: 6.043 states/eV per cell
# **Volume**: 17.0 Å³ per atom

Record 10
# TlSb2 (PBE, optimized geometry)
data_TlSb2
_cell_length_a 9.5001
_cell_length_b 9.5001
_cell_length_c 3.2801
_cell_angle_alpha 90.00
_cell_angle_beta 90.00
_cell_angle_gamma 120.00
_symmetry_space_group_name_H-M 'P -6 2 m'
_symmetry_Int_Tables_number 189
_symmetry_space_group_name_Hall 'P -6 -2'
loop_
_atom_site_label
_atom_site_type_symbol
_atom_site_fract_x
_atom_site_fract_y
_atom_site_fract_z
Tl1 Tl 0.0000 0.0000 0.0000
Tl2 Tl 0.3333 0.6667 0.5000
Sb1 Sb 0.0000 0.3191 0.5000
Sb2 Sb 0.0000 0.6559 0.0000
# **Total energy**: -3.30 eV/atom
# **Fermi-level density of states**: 5.236 states/eV per cell
# **Formation energy (no corrections)**: 0.237 eV/atom
# **Volume**: 28.5 Å³ per atom

Record 11
# HfRuCl3 (PBE, optimized geometry)
data_HfRuCl3
_cell_length_a 4.943
_cell_length_b 4.943
_cell_length_c 4.943
_cell_angle_alpha 90.00
_cell_angle_beta 90.00
_cell_angle_gamma 90.00
_symmetry_space_group_name_H-M 'P m -3 m'
_symmetry_Int_Tables_number 221
_symmetry_space_group_name_Hall '-P 4 2 3'
loop_
_atom_site_label
_atom_site_type_symbol
_atom_site_fract_x
_atom_site_fract_y
_atom_site_fract_z
Hf1 Hf 0.000 0.000 0.000
Ru1 Ru 0.500 0.500 0.500
Cl1 Cl 0.000 0.000 0.500
# **Total energy**: -4.83 eV/atom
# **Energy above the lowest structure with this stoichiometry**: 0 meV per atom
# **Fermi-level density of states**: 11.110 states/eV per cell
# **Formation energy (no corrections)**: 0.126 eV/atom
# **Volume**: 24.2 Å³ per atom

Record 12
# PmUGePt (PBE, optimized geometry)
data_PmUGePt
_cell_length_a 7.166
_cell_length_b 7.166
_cell_length_c 7.166
_cell_angle_alpha 90.00
_cell_angle_beta 90.00
_cell_angle_gamma 90.00
_symmetry_space_group_name_H-M 'F -4 3 m'
_symmetry_Int_Tables_number 216
_symmetry_space_group_name_Hall 'F -4 2 3'
loop_
_atom_site_label
_atom_site_type_symbol
_atom_site_fract_x
_atom_site_fract_y
_atom_site_fract_z
Pm1 Pm 0.000 0.000 0.000
U1 U 0.000 0.000 0.500
Ge1 Ge 0.250 0.250 0.750
Pt1 Pt 0.250 0.250 0.250
# **Total energy**: -7.12 eV/atom
# **Fermi-level density of states**: 32.765 states/eV per cell
# **Volume**: 23.0 Å³ per atom